Here is a relaxed structure of Zn2Cu7Ir2 from the Alexandria database. Energies are from PBE-GGA.

Geometry as POSCAR:
```
Zn2Cu7Ir2
1.0
-3.3312 3.8827 -0.7143
-0.8945 -1.2028 5.7977
4.4351 2.6384 0.2258
Ir Cu Zn
2 7 2
direct
0.4114 0.6648 0.4114
0.5886 0.3352 0.5886
0.0000 0.5000 0.0000
0.4482 0.6701 0.9122
0.9122 0.6701 0.4482
0.1933 0.9736 0.1933
0.5518 0.3299 0.0878
0.0878 0.3299 0.5518
0.8067 0.0264 0.8067
0.2787 0.0000 0.7213
0.7213 0.0000 0.2787
```

Computed properties:
Space group = C2/m
Energy above the most stable polymorph in this dataset = 10 meV per atom
ΔH_f (0 K) = 0.10 eV per atom
Electronic total energy = -47.85 eV per cell
Total magnetization = 0.000 Bohr magnetons per cell